A plane-wave DFT calculation with PBE was carried out for a geometry-optimized Tm2Co3Os structure.

**Electronic total energy**: -7.1987 eV/atom

Cell: 5.1135 5.1135 12.3533 Å, 90.00 90.00 120.00°
Space group R-3m (No. 166, hexagonal axes)
Asymmetric unit:
1 Tm 0.0000 0.0000 0.1261
2 Co 0.0000 0.5000 0.0000
3 Os 0.0000 0.0000 0.5000